{"formula": "LaZnCr", "functional": "PBE", "state": "relaxed", "cell": [[4.681, 0.000, 0.000], [-2.340, 4.054, 0.000], [0.000, 0.000, 3.707]], "species": ["Zn", "La", "Cr"], "frac_coords": [[0.333, 0.667, 0.833], [0.667, 0.333, 0.333], [0.000, 0.000, 0.833]], "e_above_lowest_polymorph_ev_per_atom": 0.000, "formation_energy_ev_per_atom": 0.15}